# Sr2Ga3Ge4 PBE-GGA relaxed
data_Sr2Ga3Ge4
_cell_length_a 8.471
_cell_length_b 8.471
_cell_length_c 8.210
_cell_angle_alpha 90.00
_cell_angle_beta 90.00
_cell_angle_gamma 137.55
_space_group_name_H-M_alt 'P 1'
_space_group_IT_number 1
loop_
_space_group_symop_operation_xyz
'x,y,z'
loop_
_atom_site_label
_atom_site_type_symbol
_atom_site_fract_x
_atom_site_fract_y
_atom_site_fract_z
Sr1 Sr 0.113 0.887 0.915
Sr2 Sr 0.387 0.613 0.415
Sr3 Sr 0.613 0.387 0.585
Sr4 Sr 0.887 0.113 0.085
Ga1 Ga 0.000 0.000 0.500
Ga2 Ga 0.030 0.470 0.750
Ga3 Ga 0.470 0.030 0.250
Ga4 Ga 0.500 0.500 0.000
Ga5 Ga 0.530 0.970 0.750
Ga6 Ga 0.970 0.530 0.250
Ge1 Ge 0.186 0.814 0.544
Ge2 Ge 0.194 0.306 0.750
Ge3 Ge 0.306 0.194 0.250
Ge4 Ge 0.314 0.686 0.044
Ge5 Ge 0.686 0.314 0.956
Ge6 Ge 0.694 0.806 0.750
Ge7 Ge 0.806 0.694 0.250
Ge8 Ge 0.814 0.186 0.456
# ΔE_f (eV per atom): -0.321
# Size of the total moment (μB per formula unit): 0.000